1.
Compound: ScNb2FeCo
Source: Alexandria via LeMat-Bulk
Functional: PBE
Structure: optimized geometry Values from VASP.

Values from the calculation:
ΔE_f   3.87 eV/f.u.

Cell and atoms, written as Quantum ESPRESSO input:
```
&SYSTEM
  ibrav = 0, nat = 5, ntyp = 4
/
ATOMIC_SPECIES
Co 58.93 Co.upf
Fe 55.84 Fe.upf
Sc 44.96 Sc.upf
Nb 92.91 Nb.upf
CELL_PARAMETERS angstrom
4.537 0.000 0.000
0.000 4.708 0.000
0.000 0.000 4.537
ATOMIC_POSITIONS crystal
Co 0.500 0.500 0.500
Fe 0.000 0.000 0.000
Sc 0.000 0.500 0.000
Nb 0.500 0.000 0.000
Nb 0.000 0.000 0.500
```

---

2.
Compound: NbFeCoSi2
Source: Alexandria via LeMat-Bulk
Functional: PBE
Structure: optimized geometry Values from VASP.

Values from the calculation:
Formation energy (no corrections)   0.556 eV/atom

Cell and atoms, written as Quantum ESPRESSO input:
```
&SYSTEM
  ibrav = 0, nat = 5, ntyp = 4
/
ATOMIC_SPECIES
Fe 55.84 Fe.upf
Co 58.93 Co.upf
Si 28.09 Si.upf
Nb 92.91 Nb.upf
CELL_PARAMETERS angstrom
4.191 0.000 0.000
0.000 4.296 0.000
0.000 0.000 4.191
ATOMIC_POSITIONS crystal
Fe 0.000 0.000 0.000
Co 0.000 0.500 0.000
Si 0.000 0.000 0.500
Si 0.500 0.000 0.000
Nb 0.500 0.500 0.500
```

---

3.
Compound: TaNb2Fe5Co2
Source: Alexandria via LeMat-Bulk
Functional: PBE
Structure: optimized geometry Values from VASP.

Values from the calculation:
ΔE_f   -0.09 eV/f.u.

Cell and atoms, written as Quantum ESPRESSO input:
```
&SYSTEM
  ibrav = 0, nat = 20, ntyp = 4
/
ATOMIC_SPECIES
Fe 55.84 Fe.upf
Co 58.93 Co.upf
Nb 92.91 Nb.upf
Ta 180.95 Ta.upf
CELL_PARAMETERS angstrom
-3.602 -1.056 -0.099
2.204 -7.165 -3.745
0.864 -3.650 7.493
ATOMIC_POSITIONS crystal
Fe 0.500 0.931 0.208
Fe 0.500 0.500 0.000
Fe 0.500 0.569 0.708
Fe 0.500 0.431 0.292
Fe 0.500 0.708 0.431
Fe 0.500 0.792 0.931
Fe 0.500 0.000 0.500
Fe 0.500 0.208 0.069
Fe 0.500 0.069 0.792
Fe 0.500 0.292 0.569
Co 0.000 0.869 0.369
Co 0.000 0.369 0.131
Co 0.000 0.131 0.631
Co 0.000 0.631 0.869
Nb 0.000 0.835 0.665
Nb 0.000 0.335 0.835
Nb 0.000 0.165 0.335
Nb 0.000 0.665 0.165
Ta 0.000 0.500 0.500
Ta 0.000 0.000 0.000
```

---

4.
Compound: TiNb2Fe2Co5
Source: Alexandria via LeMat-Bulk
Functional: PBE
Structure: optimized geometry Values from VASP.

Values from the calculation:
ΔE_f   -0.59 eV/f.u.

Cell and atoms, written as Quantum ESPRESSO input:
```
&SYSTEM
  ibrav = 0, nat = 20, ntyp = 4
/
ATOMIC_SPECIES
Fe 55.84 Fe.upf
Co 58.93 Co.upf
Ti 47.87 Ti.upf
Nb 92.91 Nb.upf
CELL_PARAMETERS angstrom
3.684 0.000 0.000
0.000 8.349 0.000
0.000 0.000 8.349
ATOMIC_POSITIONS crystal
Fe 0.000 0.129 0.629
Fe 0.000 0.629 0.871
Fe 0.000 0.371 0.129
Fe 0.000 0.871 0.371
Co 0.500 0.500 0.000
Co 0.500 0.932 0.206
Co 0.500 0.432 0.294
Co 0.500 0.000 0.500
Co 0.500 0.794 0.932
Co 0.500 0.706 0.432
Co 0.500 0.568 0.706
Co 0.500 0.206 0.068
Co 0.500 0.294 0.568
Co 0.500 0.068 0.794
Ti 0.000 0.000 0.000
Ti 0.000 0.500 0.500
Nb 0.000 0.169 0.331
Nb 0.000 0.669 0.169
Nb 0.000 0.331 0.831
Nb 0.000 0.831 0.669
```

---

5.
Compound: TiNbFeCo
Source: Alexandria via LeMat-Bulk
Functional: PBE
Structure: optimized geometry Values from VASP.

Values from the calculation:
ΔE_f   -0.85 eV/f.u.

Cell and atoms, written as Quantum ESPRESSO input:
```
&SYSTEM
  ibrav = 0, nat = 4, ntyp = 4
/
ATOMIC_SPECIES
Ti 47.87 Ti.upf
Nb 92.91 Nb.upf
Fe 55.84 Fe.upf
Co 58.93 Co.upf
CELL_PARAMETERS angstrom
4.284 0.000 0.000
2.142 3.710 0.000
2.142 1.237 3.498
ATOMIC_POSITIONS crystal
Ti 0.750 0.750 0.750
Nb 0.250 0.250 0.250
Fe 0.500 0.500 0.500
Co 0.000 0.000 0.000
```

---

6.
Compound: TmNbFeCo
Source: Alexandria via LeMat-Bulk
Functional: PBE
Structure: optimized geometry Values from VASP.

Values from the calculation:
ΔE_f   -0.02 eV/f.u.

Cell and atoms, written as Quantum ESPRESSO input:
```
&SYSTEM
  ibrav = 0, nat = 4, ntyp = 4
/
ATOMIC_SPECIES
Fe 55.84 Fe.upf
Nb 92.91 Nb.upf
Co 58.93 Co.upf
Tm 168.93 Tm.upf
CELL_PARAMETERS angstrom
-2.929 -0.377 3.369
-1.129 -4.051 1.545
1.397 -1.324 4.046
ATOMIC_POSITIONS crystal
Fe 0.000 0.000 0.000
Nb 0.750 0.750 0.750
Co 0.500 0.500 0.500
Tm 0.250 0.250 0.250
```

---

7.
Compound: Nb2VFe2Co5
Source: Alexandria via LeMat-Bulk
Functional: PBE
Structure: optimized geometry Values from VASP.

Values from the calculation:
ΔE_f   0.23 eV/f.u.

Cell and atoms, written as Quantum ESPRESSO input:
```
&SYSTEM
  ibrav = 0, nat = 20, ntyp = 4
/
ATOMIC_SPECIES
Co 58.93 Co.upf
Fe 55.84 Fe.upf
Nb 92.91 Nb.upf
V 50.94 V.upf
CELL_PARAMETERS angstrom
-2.536 1.175 2.329
3.391 -4.633 6.030
4.914 6.374 2.134
ATOMIC_POSITIONS crystal
Co 0.500 0.437 0.297
Co 0.500 0.203 0.063
Co 0.500 0.000 0.500
Co 0.500 0.703 0.437
Co 0.500 0.500 0.000
Co 0.500 0.063 0.797
Co 0.500 0.797 0.937
Co 0.500 0.297 0.563
Co 0.500 0.563 0.703
Co 0.500 0.937 0.203
Fe 0.000 0.872 0.372
Fe 0.000 0.372 0.128
Fe 0.000 0.628 0.872
Fe 0.000 0.128 0.628
Nb 0.000 0.672 0.172
Nb 0.000 0.328 0.828
Nb 0.000 0.828 0.672
Nb 0.000 0.172 0.328
V 0.000 0.000 0.000
V 0.000 0.500 0.500
```

---

8.
Compound: NbVFe2Co
Source: Alexandria via LeMat-Bulk
Functional: PBE
Structure: optimized geometry Values from VASP.

Values from the calculation:
ΔE_f   4.46 eV/f.u.

Cell and atoms, written as Quantum ESPRESSO input:
```
&SYSTEM
  ibrav = 0, nat = 5, ntyp = 4
/
ATOMIC_SPECIES
V 50.94 V.upf
Fe 55.84 Fe.upf
Co 58.93 Co.upf
Nb 92.91 Nb.upf
CELL_PARAMETERS angstrom
-0.244 2.705 3.177
3.015 -2.076 1.999
2.878 2.413 -1.834
ATOMIC_POSITIONS crystal
V 0.000 0.000 0.000
Fe 0.000 0.000 0.500
Fe 0.500 0.000 0.000
Co 0.000 0.500 0.000
Nb 0.500 0.500 0.500
```

---

9.
Compound: YNb2FeCo
Source: Alexandria via LeMat-Bulk
Functional: PBE
Structure: optimized geometry Values from VASP.

Values from the calculation:
ΔE_f   2.62 eV/f.u.

Cell and atoms, written as Quantum ESPRESSO input:
```
&SYSTEM
  ibrav = 0, nat = 5, ntyp = 4
/
ATOMIC_SPECIES
Co 58.93 Co.upf
Fe 55.84 Fe.upf
Nb 92.91 Nb.upf
Y 88.91 Y.upf
CELL_PARAMETERS angstrom
-1.905 -3.303 2.555
4.117 -1.022 1.748
-0.689 3.018 3.388
ATOMIC_POSITIONS crystal
Co 0.000 0.500 0.000
Fe 0.000 0.000 0.000
Nb 0.500 0.000 0.000
Nb 0.000 0.000 0.500
Y 0.500 0.500 0.500
```

---

10.
Compound: YNb2FeCo
Source: Alexandria via LeMat-Bulk
Functional: PBE
Structure: optimized geometry Values from VASP.

Values from the calculation:
ΔE_f   11.84 eV/f.u.

Cell and atoms, written as Quantum ESPRESSO input:
```
&SYSTEM
  ibrav = 0, nat = 5, ntyp = 4
/
ATOMIC_SPECIES
Fe 55.84 Fe.upf
Nb 92.91 Nb.upf
Co 58.93 Co.upf
Y 88.91 Y.upf
CELL_PARAMETERS angstrom
-2.159 -0.907 -4.353
2.731 -3.397 -0.647
-3.223 -3.015 2.226
ATOMIC_POSITIONS crystal
Fe 0.000 0.500 0.000
Nb 0.500 0.000 0.000
Nb 0.000 0.000 0.500
Co 0.500 0.500 0.500
Y 0.000 0.000 0.000
```

---

11.
Compound: ZrNbFeCo
Source: Alexandria via LeMat-Bulk
Functional: PBE
Structure: optimized geometry Values from VASP.

Values from the calculation:
ΔE_f   -0.48 eV/f.u.

Cell and atoms, written as Quantum ESPRESSO input:
```
&SYSTEM
  ibrav = 0, nat = 4, ntyp = 4
/
ATOMIC_SPECIES
Nb 92.91 Nb.upf
Fe 55.84 Fe.upf
Zr 91.22 Zr.upf
Co 58.93 Co.upf
CELL_PARAMETERS angstrom
-0.189 -0.530 4.395
-3.220 -2.456 1.799
0.957 -3.934 1.801
ATOMIC_POSITIONS crystal
Nb 0.000 0.000 0.000
Fe 0.250 0.250 0.250
Zr 0.500 0.500 0.500
Co 0.750 0.750 0.750
```

---

12.
Compound: NdFeCo4
Source: Alexandria via LeMat-Bulk
Functional: PBE
Structure: optimized geometry Values from VASP.

Values from the calculation:
ΔE_f   0.47 eV/f.u.

Cell and atoms, written as Quantum ESPRESSO input:
```
&SYSTEM
  ibrav = 0, nat = 6, ntyp = 3
/
ATOMIC_SPECIES
Fe 55.84 Fe.upf
Nd 144.24 Nd.upf
Co 58.93 Co.upf
CELL_PARAMETERS angstrom
-4.284 -0.392 2.443
-1.052 -4.138 2.499
-0.039 0.041 4.947
ATOMIC_POSITIONS crystal
Fe 0.000 0.000 0.000
Nd 0.250 0.250 0.250
Co 0.626 0.626 0.626
Co 0.626 0.626 0.121
Co 0.121 0.626 0.626
Co 0.626 0.121 0.626
```